The following is a DFT calculation (GGA+U) of Li4Fe3Co3W2O16 after structural relaxation.

abc: 5.888 5.890 9.570
angles: 90.22 91.10 60.08
Last column: magnetic moment on the atom in μB.
Fractional positions:
O 0.822 0.337 0.410  -0.01
O 0.538 0.502 0.654  0.04
O 0.041 0.494 0.151  -0.01
W 0.329 0.340 0.011  0.03
Li 0.672 0.667 0.093  0.00
Fe 0.826 0.835 0.785  1.11
Fe 0.661 0.165 0.284  -1.06
Co 0.171 0.166 0.286  -2.68
O 0.965 0.509 0.660  -0.03
Li 0.341 0.329 0.596  0.00
O 0.347 0.331 0.386  -0.02
W 0.669 0.658 0.513  -0.02
Li 0.991 0.999 0.510  0.00
O 0.339 0.811 0.418  0.00
O 0.678 0.666 0.884  0.03
Li 0.990 0.008 0.009  -0.01
Co 0.825 0.345 0.786  -0.01
O 0.536 0.959 0.646  0.02
O 0.495 0.039 0.145  -0.02
O 0.158 0.668 0.912  0.00
O 0.651 0.189 0.904  -0.01
O 0.483 0.483 0.158  0.05
Fe 0.171 0.653 0.286  -1.11
O 0.835 0.814 0.406  0.02
O 0.151 0.192 0.914  0.01
Co 0.335 0.837 0.785  2.66
O 0.993 0.991 0.200  -0.02
O 0.983 0.012 0.700  0.03

Output
* uncorrected energy: -6.2693 eV/atom